The following is a GGA-PBE calculation of crystalline KCu4I6 at its relaxed geometry, from the Alexandria database.

abc: 7.9042 7.9042 7.9042
angles: 125.52 125.52 80.67
Fractional positions:
1 K 0.0000 0.0000 0.0000
2 Cu 0.2803 0.5295 0.0000
3 Cu 0.4705 0.4705 0.7508
4 Cu 0.5295 0.2803 0.0000
5 Cu 0.7197 0.7197 0.2492
6 I 0.0000 0.5000 0.5000
7 I 0.0921 0.0921 0.6271
8 I 0.4650 0.4650 0.3729
9 I 0.5000 0.0000 0.5000
10 I 0.5350 0.9079 0.0000
11 I 0.9079 0.5350 0.0000

Results
E: -2.523 eV per atom
SG: I-42m, No. 121
ΔE_f (raw): -0.966 eV per formula unit
calculated volume: 28.7 Å³/atom
total magnetization: 0.0 μB per formula unit